Entry 1:
Density functional theory data (GGA-PBEsol) for crystalline ZrCuP4 at its relaxed geometry.

Unit cell a=4.980 b=4.980 c=4.980 alpha=60.00 beta=60.00 gamma=60.00
Fractional coordinates of all 6 atoms:
P 0.626 0.626 0.121
P 0.121 0.626 0.626
P 0.626 0.626 0.626
P 0.626 0.121 0.626
Cu 0.000 0.000 0.000
Zr 0.250 0.250 0.250

E_tot (hartree per atom): -0.220
V (Å³/cell): 87.3
Space group: F-43m, No. 216
Calculated formation energy (meV/atom): 110

***

Entry 2:
Density functional theory data (GGA-PBEsol) for crystalline Fe2Rh at its relaxed geometry.

Unit cell a=2.831 b=4.760 c=5.970 alpha=108.49 beta=90.00 gamma=107.30
Fractional coordinates of all 6 atoms:
Fe 0.508 0.016 0.736
Fe 0.492 0.984 0.264
Fe 0.836 0.672 0.428
Fe 0.164 0.328 0.572
Rh 0.840 0.680 0.905
Rh 0.160 0.320 0.095

E_tot (hartree per atom): -0.317
V (Å³/cell): 72.5
Space group: C2/m, No. 12
Calculated formation energy (meV/atom): 51

***

| no. | DOS at the Fermi energy (states/eV/atom) |
| --- | --- |
| 1 | 0.57 |
| 2 | 1.15 |